Record 1
This record from Alexandria via LeMat-Bulk describes an optimized crystal structure of PaMn2Al. The functional is PBE.

Geometry as POSCAR:
```
PaMn2Al
1.0
-2.026 -3.889 -0.690
1.752 -2.946 -2.821
1.807 -3.749 1.544
Pa Al Mn
1 1 2
Cartesian
0.000 0.000 0.000
0.767 -5.292 -0.983
0.383 -2.646 -0.492
1.150 -7.937 -1.475
```

Calculated values
As for the electronic total energy: -8.054 eV per atom. As for the energy above the most stable polymorph in this dataset: 0.0 meV per atom. The value obtained for the formation energy is -0.6 eV/f.u.

Record 2
This record from Alexandria via LeMat-Bulk describes an optimized crystal structure of Y8HoEr2. The functional is PBE.

Geometry as POSCAR:
```
Y8HoEr2
1.0
-0.804 -5.450 -6.277
2.884 -3.305 3.788
-6.441 -3.193 4.250
Y Ho Er
8 1 2
Cartesian
-5.425 -6.927 0.340
-2.560 -9.345 0.408
-4.638 -4.122 1.766
0.278 -7.827 -0.005
-1.801 -2.603 1.353
1.065 -5.021 1.421
-1.989 -6.505 2.461
-2.371 -5.444 -0.700
0.000 0.000 0.000
-4.176 -5.217 4.787
-0.184 -6.731 -3.026
```

Calculated values
As for the electronic total energy: -5.475 eV per atom. As for the energy above the most stable polymorph in this dataset: 309.5 meV per atom. The value obtained for the formation energy is 5.2 eV/f.u.

Record 3
This record from Alexandria via LeMat-Bulk describes an optimized crystal structure of Sr2SeCl. The functional is PBE.

Geometry as POSCAR:
```
Sr2SeCl
1.0
7.335 -0.047 -0.092
-3.724 4.903 0.104
-0.113 2.105 4.073
Cl Se Sr
1 1 2
Cartesian
-1.918 3.504 2.088
1.805 2.428 0.006
0.000 0.000 0.000
3.611 1.029 1.991
```

Calculated values
As for the electronic total energy: -3.788 eV per atom. As for the energy above the most stable polymorph in this dataset: 222.5 meV per atom. For the uncorrected formation energy, the calculation gives -1.615 eV per atom.

Record 4
This record from Alexandria via LeMat-Bulk describes an optimized crystal structure of CoTeAu2. The functional is PBE.

Geometry as POSCAR:
```
CoTeAu2
1.0
3.153 0.000 0.000
0.000 3.147 0.317
0.000 3.942 7.980
Au Co Te
2 1 1
Cartesian
0.000 0.551 0.350
1.576 1.945 2.308
0.000 3.346 4.183
1.576 4.791 5.605
```

Calculated values
As for the electronic total energy: -4.012 eV per atom. For the uncorrected formation energy, the calculation gives 0.188 eV per atom.

Record 5
This record from Alexandria via LeMat-Bulk describes an optimized crystal structure of Cr2CuRu. The functional is PBE.

Geometry as POSCAR:
```
Cr2CuRu
1.0
3.743 0.000 0.000
0.000 2.615 0.045
0.000 2.535 5.138
Cr Cu Ru
2 1 1
Cartesian
0.000 2.538 5.094
0.000 2.572 2.636
1.872 1.288 1.296
1.872 3.863 3.888
```

Calculated values
As for the electronic total energy: -7.938 eV per atom. The value obtained for the formation energy is 0.9 eV/f.u.

Record 6
This record from Alexandria via LeMat-Bulk describes an optimized crystal structure of Sr2PuMg2In5. The functional is PBE.

Geometry as POSCAR:
```
Sr2PuMg2In5
1.0
4.526 0.000 0.000
0.000 11.194 0.000
0.000 0.000 11.194
Sr Pu Mg In
4 2 4 10
Cartesian
0.000 7.580 1.983
0.000 3.614 9.211
0.000 1.983 3.614
0.000 9.211 7.580
0.000 0.000 0.000
0.000 5.597 5.597
0.000 1.330 6.927
0.000 9.864 4.267
0.000 6.927 9.864
0.000 4.267 1.330
2.263 2.341 0.704
2.263 8.854 10.490
2.263 0.704 8.854
2.263 7.938 4.893
2.263 10.490 2.341
2.263 3.257 6.301
2.263 6.301 7.938
2.263 4.893 3.257
2.263 5.597 0.000
2.263 0.000 5.597
```

Calculated values
As for the electronic total energy: -3.681 eV per atom. The value obtained for the formation energy is -2.2 eV/f.u.

Record 7
This record from Alexandria via LeMat-Bulk describes an optimized crystal structure of YTlCr. The functional is PBE.

Geometry as POSCAR:
```
YTlCr
1.0
6.214 -0.035 0.000
4.246 4.537 0.000
-5.230 -2.251 2.489
Cr Tl Y
1 1 1
Cartesian
10.361 4.459 0.000
3.688 1.587 0.000
6.873 2.958 0.000
```

Calculated values
As for the electronic total energy: -5.927 eV per atom. As for the energy above the most stable polymorph in this dataset: 110.3 meV per atom. The value obtained for the formation energy is 0.7 eV/f.u.

Record 8
This record from Alexandria via LeMat-Bulk describes an optimized crystal structure of KBa2SrH. The functional is PBE.

Geometry as POSCAR:
```
KBa2SrH
1.0
6.234 0.000 0.000
0.000 6.234 0.000
0.000 0.000 5.907
Sr K Ba H
1 1 2 1
Cartesian
0.000 0.000 2.953
3.117 3.117 2.953
0.000 3.117 0.000
3.117 0.000 0.000
0.000 0.000 0.000
```

Calculated values
As for the electronic total energy: -2.018 eV per atom. As for the energy above the most stable polymorph in this dataset: 9.7 meV per atom.

Record 9
This record from Alexandria via LeMat-Bulk describes an optimized crystal structure of KNaTl2Hg4. The functional is PBE.

Geometry as POSCAR:
```
KNaTl2Hg4
1.0
5.433 0.000 0.000
2.716 4.705 0.000
2.716 1.568 9.008
K Na Tl Hg
1 1 2 4
Cartesian
0.000 0.000 0.000
5.433 3.136 4.504
8.149 4.705 6.743
2.716 1.568 2.265
5.433 3.136 7.691
8.149 4.705 3.533
2.716 1.568 5.475
5.433 3.136 1.317
```

Calculated values
As for the electronic total energy: -1.210 eV per atom. The value obtained for the formation energy is -1.3 eV/f.u.

Record 10
This record from Alexandria via LeMat-Bulk describes an optimized crystal structure of SmZn3CuPd. The functional is PBE.

Geometry as POSCAR:
```
SmZn3CuPd
1.0
-5.445 0.789 0.409
-0.476 -0.267 -5.822
-0.678 -6.383 3.284
Sm Zn Cu Pd
2 6 2 2
Cartesian
-4.610 -3.154 0.521
-1.989 -2.707 -2.650
-1.609 -1.567 0.203
-0.137 -0.077 -1.677
-3.061 0.204 -3.940
-2.859 0.317 -1.472
-0.339 -0.190 -4.145
-4.989 -4.295 -2.332
-2.364 -5.381 -2.497
-4.234 -0.480 0.368
-1.991 -4.286 0.359
-4.607 -1.575 -2.488
```

Calculated values
As for the electronic total energy: -3.249 eV per atom. The value obtained for the formation energy is -1.7 eV/f.u.

Record 11
This record from Alexandria via LeMat-Bulk describes an optimized crystal structure of Ac2BN4. The functional is PBE.

Geometry as POSCAR:
```
Ac2BN4
1.0
-2.515 -3.325 -4.286
3.704 -2.818 0.013
-3.342 -4.365 6.408
Ac B N
4 2 8
Cartesian
0.585 -5.009 -2.795
-2.737 -5.498 4.930
-1.165 -3.445 1.925
-0.988 -7.063 0.209
1.418 -3.900 0.416
-3.571 -6.608 1.718
0.007 -4.607 -0.090
2.108 -2.997 -0.543
-4.261 -7.511 2.678
1.115 -5.450 -0.086
-3.670 -6.745 0.200
-3.268 -5.058 2.221
-2.160 -5.901 2.224
1.517 -3.762 1.935
```

Calculated values
As for the electronic total energy: -7.703 eV per atom. For the uncorrected formation energy, the calculation gives -0.818 eV per atom.

Record 12
This record from Alexandria via LeMat-Bulk describes an optimized crystal structure of ZrMoPd3. The functional is PBE.

Geometry as POSCAR:
```
ZrMoPd3
1.0
4.751 0.000 0.000
0.000 4.751 0.000
0.000 0.000 4.751
Mo Zr Pd
1 1 3
Cartesian
0.000 0.000 0.000
2.376 2.376 2.376
0.000 2.376 0.000
0.000 0.000 2.376
2.376 0.000 0.000
```

Calculated values
As for the electronic total energy: -6.162 eV per atom. As for the energy above the most stable polymorph in this dataset: 0.0 meV per atom. The value obtained for the formation energy is 4.1 eV/f.u.

Record 13
This record from Alexandria via LeMat-Bulk describes an optimized crystal structure of CuPdN2. The functional is PBE.

Geometry as POSCAR:
```
CuPdN2
1.0
-2.138 2.550 5.210
-1.582 -0.223 5.972
0.591 1.740 5.902
Cu Pd N
1 1 2
Cartesian
-1.564 2.034 8.542
0.000 0.000 0.000
-2.785 3.620 15.206
-0.344 0.447 1.878
```

Calculated values
As for the electronic total energy: -5.507 eV per atom. As for the energy above the most stable polymorph in this dataset: 67.9 meV per atom. For the uncorrected formation energy, the calculation gives 0.978 eV per atom.

Record 14
This record from Alexandria via LeMat-Bulk describes an optimized crystal structure of DyRuPb. The functional is PBE.

Geometry as POSCAR:
```
DyRuPb
1.0
3.378 0.000 0.000
0.000 3.378 0.000
-1.689 -1.689 5.839
Pb Ru Dy
1 1 1
Cartesian
1.689 1.689 1.654
0.000 0.000 3.274
1.689 1.689 4.998
```

Calculated values
As for the electronic total energy: -6.016 eV per atom. The value obtained for the formation energy is -0.5 eV/f.u.

Record 15
This record from Alexandria via LeMat-Bulk describes an optimized crystal structure of Cd2AsP. The functional is PBE.

Geometry as POSCAR:
```
Cd2AsP
1.0
-3.034 0.539 0.269
0.734 -2.627 -1.459
-0.093 -4.955 8.876
As Cd P
1 2 1
Cartesian
-1.215 -4.520 5.632
-0.093 -4.933 8.836
-1.175 -2.381 1.800
-0.050 -2.641 4.732
```

Calculated values
As for the electronic total energy: -2.669 eV per atom. As for the energy above the most stable polymorph in this dataset: 226.2 meV per atom. The value obtained for the formation energy is 1.2 eV/f.u.

Record 16
This record from Alexandria via LeMat-Bulk describes an optimized crystal structure of K8HI4Br3. The functional is PBE.

Geometry as POSCAR:
```
K8HI4Br3
1.0
-2.407 3.740 8.580
-6.936 -6.724 0.985
9.120 -2.709 -1.703
K H I Br
8 1 4 3
Cartesian
3.420 -6.674 1.059
-1.284 -5.281 1.942
2.194 -2.228 1.587
2.178 -4.743 5.489
-2.400 -0.950 2.373
-2.417 -3.464 6.275
1.061 -0.412 5.920
-3.643 0.981 6.803
-3.468 -3.362 0.493
-1.203 1.870 4.290
3.357 0.515 3.438
0.000 0.000 0.000
4.560 -1.355 -0.852
-4.672 -1.492 4.782
-0.111 -2.846 3.931
1.092 -4.716 -0.359
```

Calculated values
As for the electronic total energy: -2.858 eV per atom.

Record 17
This record from Alexandria via LeMat-Bulk describes an optimized crystal structure of Ca3MgBr2Cl6. The functional is PBE.

Geometry as POSCAR:
```
Ca3MgBr2Cl6
1.0
6.252 0.000 0.553
0.000 7.955 0.000
-0.205 -3.977 6.874
Ca Mg Br Cl
3 1 2 6
Cartesian
0.000 3.977 0.000
3.024 1.989 3.713
3.024 -1.989 3.713
3.126 0.000 0.277
1.262 3.977 2.601
4.786 0.000 4.826
4.534 1.903 1.398
1.513 2.075 6.029
4.313 3.977 5.082
1.734 0.000 2.345
1.513 -2.075 6.029
4.534 6.052 1.398
```

Calculated values
As for the electronic total energy: -3.971 eV per atom. For the uncorrected formation energy, the calculation gives -2.136 eV per atom.

Record 18
This record from Alexandria via LeMat-Bulk describes an optimized crystal structure of CuGeIrRu. The functional is PBE.

Geometry as POSCAR:
```
CuGeIrRu
1.0
-1.598 3.894 -0.603
-3.779 0.478 -1.890
-3.360 1.294 2.262
Ru Ge Ir Cu
1 1 1 1
Cartesian
-4.368 2.833 -0.115
-6.552 4.250 -0.173
0.000 0.000 0.000
-2.184 1.417 -0.058
```

Calculated values
As for the electronic total energy: -6.780 eV per atom. The value obtained for the formation energy is -0.3 eV/f.u.

Record 19
This record from Alexandria via LeMat-Bulk describes an optimized crystal structure of TbPm7Y3. The functional is PBE.

Geometry as POSCAR:
```
TbPm7Y3
1.0
-1.339 10.013 1.655
-2.202 -8.895 4.564
10.089 5.733 4.712
Tb Pm Y
2 14 6
Cartesian
8.318 6.292 7.822
3.275 3.426 5.466
0.177 -4.569 5.174
5.250 -1.709 7.481
4.312 0.136 4.560
-0.730 -2.728 2.194
-2.486 -2.176 5.284
2.553 0.695 7.646
6.611 4.602 5.214
-0.061 2.249 5.715
9.034 9.028 5.649
3.996 6.156 3.286
7.278 9.580 8.738
2.236 6.715 6.373
1.298 8.562 3.452
6.371 11.419 5.758
5.913 1.832 7.252
-2.201 -8.894 4.564
3.705 12.879 4.012
0.865 -1.035 4.900
5.682 7.885 6.032
0.635 5.021 3.681
```

Calculated values
As for the electronic total energy: -5.026 eV per atom. As for the energy above the most stable polymorph in this dataset: 0.0 meV per atom. The value obtained for the formation energy is 2.0 eV/f.u.

Record 20
This record from Alexandria via LeMat-Bulk describes an optimized crystal structure of ErHfMg2. The functional is PBE.

Geometry as POSCAR:
```
ErHfMg2
1.0
3.589 0.000 0.000
0.000 3.589 0.000
0.000 0.000 7.372
Mg Hf Er
2 1 1
Cartesian
0.000 0.000 5.669
0.000 0.000 1.703
1.794 1.794 0.000
1.794 1.794 3.686
```

Calculated values
As for the electronic total energy: -4.331 eV per atom. As for the energy above the most stable polymorph in this dataset: 0.0 meV per atom. The value obtained for the formation energy is 0.4 eV/f.u.

Record 21
This record from Alexandria via LeMat-Bulk describes an optimized crystal structure of Pr2CdCl. The functional is PBE.

Geometry as POSCAR:
```
Pr2CdCl
1.0
4.238 0.000 0.000
2.119 3.670 0.000
2.119 1.223 7.418
Pr Cl Cd
2 1 1
Cartesian
2.119 1.223 1.642
6.356 3.670 5.776
0.000 0.000 0.000
4.238 2.447 3.709
```

Calculated values
As for the electronic total energy: -3.874 eV per atom. As for the energy above the most stable polymorph in this dataset: 0.0 meV per atom. For the uncorrected formation energy, the calculation gives -0.794 eV per atom.

Record 22
This record from Alexandria via LeMat-Bulk describes an optimized crystal structure of LiPuGa. The functional is PBE.

Geometry as POSCAR:
```
LiPuGa
1.0
-2.364 -1.298 -1.509
1.299 -2.781 0.357
-2.522 1.308 5.990
Pu Ga Li
1 1 1
Cartesian
-3.233 -2.686 4.208
-1.622 -0.389 2.874
-1.404 -2.248 0.968
```

Calculated values
As for the electronic total energy: -6.521 eV per atom. As for the energy above the most stable polymorph in this dataset: 93.2 meV per atom. The value obtained for the formation energy is -0.3 eV/f.u.

Record 23
This record from Alexandria via LeMat-Bulk describes an optimized crystal structure of LaMg2Co2. The functional is PBE.

Geometry as POSCAR:
```
LaMg2Co2
1.0
-3.113 5.497 -4.545
-6.967 -3.405 0.654
-0.579 1.642 2.383
Mg Co La
4 4 2
Cartesian
-7.285 -0.914 -1.140
-7.070 2.700 -3.579
-2.795 3.006 -2.750
-3.010 -0.609 -0.312
-5.517 -0.520 0.845
-8.146 1.705 -1.326
-5.142 4.254 -2.353
-2.513 2.029 -0.181
0.000 0.000 0.000
-5.040 1.046 -1.945
```

Calculated values
As for the electronic total energy: -4.232 eV per atom. As for the energy above the most stable polymorph in this dataset: 223.2 meV per atom. The value obtained for the formation energy is 1.2 eV/f.u.

Record 24
This record from Alexandria via LeMat-Bulk describes an optimized crystal structure of Pa3Te2Se2. The functional is PBE.

Geometry as POSCAR:
```
Pa3Te2Se2
1.0
8.635 0.000 0.302
0.000 7.201 0.000
4.021 0.000 7.015
Pa Te Se
6 4 4
Cartesian
4.317 3.600 0.151
0.000 0.000 0.000
9.405 0.181 5.418
7.568 3.782 2.049
5.088 3.419 5.267
3.251 7.020 1.899
11.007 4.804 6.166
6.690 5.998 6.015
5.966 1.203 1.302
1.649 2.397 1.151
7.746 2.403 4.593
9.228 6.004 2.874
3.428 1.197 4.442
4.910 4.798 2.723
```

Calculated values
As for the electronic total energy: -6.828 eV per atom. For the uncorrected formation energy, the calculation gives -0.865 eV per atom.

Record 25
This record from Alexandria via LeMat-Bulk describes an optimized crystal structure of BaAsAu2. The functional is PBE.

Geometry as POSCAR:
```
BaAsAu2
1.0
-0.948 -1.763 -4.142
-1.301 -4.017 2.008
-5.094 1.834 0.385
As Au Ba
1 2 1
Cartesian
-5.270 -2.519 -0.277
-0.995 -3.007 1.508
-3.503 -2.102 1.696
-2.073 -1.427 -1.473
```

Calculated values
As for the electronic total energy: -3.825 eV per atom. The value obtained for the formation energy is -2.2 eV/f.u.